P | Mg5Re3 after structural relaxation, computed with GGA-PBE.

a = 6.5005 Å, b = 6.5005 Å, c = 3.2629 Å
α = 90.00°, β = 90.00°, γ = 92.34°
Fractional coordinates of all 8 atoms:
Mg 0.0000 0.0000 0.0000
Mg 0.0000 0.5000 0.0000
Mg 0.2592 0.7408 0.5000
Mg 0.5000 0.0000 0.0000
Mg 0.7408 0.2592 0.5000
Re 0.2741 0.2741 0.5000
Re 0.5000 0.5000 0.0000
Re 0.7259 0.7259 0.5000

Q | Mg5Re3 after structural relaxation, computed with GGA-PBE.

a = 11.6463 Å, b = 11.6463 Å, c = 6.5628 Å
α = 90.00°, β = 90.00°, γ = 158.68°
Fractional coordinates of all 16 atoms:
Mg 0.0000 0.0000 0.0000
Mg 0.0988 0.8962 0.7434
Mg 0.1001 0.8969 0.3022
Mg 0.3048 0.6908 0.5105
Mg 0.3425 0.6532 0.0062
Mg 0.4996 0.4996 0.2819
Mg 0.6532 0.3425 0.0062
Mg 0.6908 0.3048 0.5105
Mg 0.8962 0.0988 0.7434
Mg 0.8969 0.1001 0.3022
Re 0.9997 0.9997 0.5397
Re 0.2184 0.7772 0.1945
Re 0.2192 0.7765 0.8224
Re 0.4998 0.4998 0.7236
Re 0.7772 0.2184 0.1945
Re 0.7765 0.2192 0.8224

R | Mg5Re3 after structural relaxation, computed with GGA-PBE.

a = 8.4142 Å, b = 8.4142 Å, c = 4.8172 Å
α = 90.00°, β = 90.00°, γ = 59.94°
Fractional coordinates of all 16 atoms:
Mg 0.0000 0.2344 0.7500
Mg 0.0000 0.7656 0.2500
Mg 0.2344 0.0000 0.2500
Mg 0.2343 0.7657 0.7500
Mg 0.3334 0.3334 0.0000
Mg 0.3334 0.3334 0.5000
Mg 0.6666 0.6666 0.0000
Mg 0.6666 0.6666 0.5000
Mg 0.7656 0.0000 0.7500
Mg 0.7657 0.2343 0.2500
Re 0.0001 0.4352 0.2500
Re 0.9999 0.5648 0.7500
Re 0.4352 0.0001 0.7500
Re 0.4352 0.5648 0.2500
Re 0.5648 0.9999 0.2500
Re 0.5648 0.4352 0.7500

S | Mg5Re3 after structural relaxation, computed with GGA-PBE.

a = 4.4827 Å, b = 5.7378 Å, c = 11.1053 Å
α = 100.67°, β = 90.03°, γ = 90.13°
Fractional coordinates of all 16 atoms:
Mg 0.0000 0.0000 0.0000
Mg 0.9995 0.0081 0.4801
Mg 0.9996 0.4833 0.0010
Mg 0.0004 0.5011 0.4921
Mg 0.0002 0.7450 0.7477
Mg 0.4995 0.3378 0.1185
Mg 0.5005 0.3560 0.6198
Mg 0.4998 0.6208 0.8707
Mg 0.5002 0.8758 0.6082
Mg 0.5010 0.8533 0.1378
Re 0.0001 0.2310 0.7619
Re 0.0007 0.6868 0.2581
Re 0.5001 0.1280 0.8493
Re 0.5001 0.1692 0.3535
Re 0.5005 0.6194 0.3590
Re 0.9993 0.2425 0.2583

Most favorable structure: S. The second most favorable one is 88 meV per atom above it.